No. 1
{"formula": "Pm2ReRhO8", "functional": "PBE", "state": "optimized geometry", "lattice_angstrom": [[4.9921, -0.1010, -0.0028], [-0.0882, 4.9799, -0.0073], [0.0048, 0.0051, 6.6647]], "species": ["O", "O", "O", "O", "O", "O", "O", "O", "Re", "Rh", "Pm", "Pm"], "fractional_positions": [[0.8101, 0.1490, 0.2308], [0.2862, 0.2848, 0.4661], [0.7138, 0.7152, 0.5339], [0.7297, 0.7314, 0.9709], [0.2703, 0.2686, 0.0291], [0.1899, 0.8510, 0.7692], [0.8531, 0.1917, 0.7693], [0.1469, 0.8083, 0.2307], [0.0000, 0.0000, 0.0000], [0.0000, 0.0000, 0.5000], [0.5406, 0.5413, 0.2560], [0.4594, 0.4587, 0.7440]], "spacegroup": "P-1", "dft_energy_ev_per_atom": -7.733, "e_form_raw_mev_per_atom": -1985, "m_tot_mub_per_cell": 0.6}



No. 2
{"formula": "NbV2Cu2", "functional": "PBE", "state": "optimized geometry", "lattice_angstrom": [[-2.9612, -1.9027, 0.4791], [1.9496, -2.7556, 1.1063], [-0.8710, -0.3700, 6.3161]], "species": ["V", "V", "Cu", "Cu", "Nb"], "fractional_positions": [[0.5959, 0.5959, 0.8082], [0.4041, 0.4041, 0.1918], [0.2500, 0.7500, 0.5000], [0.7500, 0.2500, 0.5000], [0.0000, 0.0000, 0.0000]], "spacegroup": "I4/mmm", "dft_energy_ev_per_atom": -6.938, "ef_ev_per_fu": 1.81, "de_polymorph_ev_per_atom": 0.146, "m_tot_mub_per_cell": 0.8}



No. 3
{"formula": "Ac9Pr4Y", "functional": "PBE", "state": "optimized geometry", "lattice_angstrom": [[12.0459, 0.0000, 0.0000], [0.0000, 9.2260, -5.3266], [0.0000, 0.0000, 10.6533]], "species": ["Pr", "Pr", "Pr", "Pr", "Pr", "Pr", "Pr", "Pr", "Ac", "Ac", "Ac", "Ac", "Ac", "Ac", "Ac", "Ac", "Ac", "Ac", "Ac", "Ac", "Ac", "Ac", "Ac", "Ac", "Ac", "Ac", "Y", "Y"], "fractional_positions": [[0.2500, 0.1082, 0.8918], [0.0000, 0.0000, 0.0000], [0.2500, 0.1082, 0.2164], [0.7500, 0.8918, 0.7836], [0.7500, 0.2164, 0.1082], [0.2500, 0.7836, 0.8918], [0.7500, 0.8918, 0.1082], [0.5000, 0.0000, 0.0000], [0.2500, 0.4628, 0.9256], [0.0314, 0.7938, 0.5876], [0.5314, 0.2062, 0.4124], [0.2500, 0.0744, 0.5372], [0.4686, 0.7938, 0.2062], [0.0314, 0.4124, 0.2062], [0.5314, 0.5876, 0.7938], [0.9686, 0.5876, 0.7938], [0.2500, 0.4628, 0.5372], [0.0314, 0.7938, 0.2062], [0.9686, 0.2062, 0.7938], [0.7500, 0.5372, 0.0744], [0.7500, 0.9256, 0.4628], [0.4686, 0.4124, 0.2062], [0.4686, 0.7938, 0.5876], [0.7500, 0.5372, 0.4628], [0.5314, 0.2062, 0.7938], [0.9686, 0.2062, 0.4124], [0.2500, 0.6667, 0.3333], [0.7500, 0.3333, 0.6667]], "spacegroup": "P6_3/mmc", "dft_energy_ev_per_atom": -4.337, "ef_ev_per_fu": 1.83, "m_tot_mub_per_cell": 0.0}



No. 4
{"formula": "PmTm5Pb3", "functional": "PBE", "state": "optimized geometry", "lattice_angstrom": [[-2.8483, 3.5408, 4.7207], [-8.0071, 0.1613, -4.9521], [1.5860, -6.9392, 6.1617]], "species": ["Tm", "Tm", "Tm", "Tm", "Tm", "Tm", "Tm", "Tm", "Tm", "Tm", "Pb", "Pb", "Pb", "Pb", "Pb", "Pb", "Pm", "Pm"], "fractional_positions": [[0.2500, 0.3330, 0.3330], [0.5000, 0.6667, 0.3333], [0.7500, 0.0000, 0.3330], [0.2500, 0.6670, 0.0000], [0.0000, 0.3333, 0.6667], [0.0000, 0.6667, 0.3333], [0.7500, 0.6670, 0.6670], [0.2500, 0.0000, 0.6670], [0.5000, 0.3333, 0.6667], [0.7500, 0.3330, 0.0000], [0.7500, 0.3364, 0.3364], [0.2500, 0.3365, 0.0000], [0.2500, 0.0000, 0.3364], [0.2500, 0.6636, 0.6636], [0.7500, 0.6635, 0.0000], [0.7500, 0.0000, 0.6636], [0.0000, 0.0000, 0.0000], [0.5000, 0.0000, 0.0000]], "spacegroup": "P6_3/mcm", "dft_energy_ev_per_atom": -4.595, "ef_ev_per_fu": -3.12, "m_tot_mub_per_cell": 0.0}



No. 5
{"formula": "HoNi2Pt4", "functional": "PBE", "state": "optimized geometry", "lattice_angstrom": [[-1.7827, -3.8448, 2.8825], [2.8483, -4.5166, 0.2968], [1.4540, -0.2385, 5.1409]], "species": ["Pt", "Pt", "Pt", "Pt", "Ni", "Ni", "Ho"], "fractional_positions": [[0.2984, 0.4045, 0.9990], [0.7017, 0.0010, 0.5955], [0.7016, 0.5955, 0.0010], [0.2984, 0.9990, 0.4045], [0.2489, 0.5003, 0.5003], [0.7511, 0.4997, 0.4997], [0.0000, 0.0000, 0.0000]], "spacegroup": "Immm", "dft_energy_ev_per_atom": -6.243, "ef_ev_per_fu": -3.39, "m_tot_mub_per_cell": 1.8}



No. 6
{"formula": "Ba2CdBr", "functional": "PBE", "state": "optimized geometry", "lattice_angstrom": [[-5.1736, -2.4141, 2.0041], [-3.7017, -2.8449, -3.8490], [-0.6222, -6.0117, 0.2860]], "species": ["Br", "Ba", "Ba", "Cd"], "fractional_positions": [[0.5000, 0.5000, 0.5000], [0.2500, 0.2500, 0.2500], [0.0000, 0.0000, 0.0000], [0.7500, 0.7500, 0.7500]], "spacegroup": "F-43m", "dft_energy_ev_per_atom": -1.934, "e_form_raw_mev_per_atom": -326, "de_polymorph_ev_per_atom": 0.577, "m_tot_mub_per_cell": 0.0}



No. 7
{"formula": "KMgIO2", "functional": "PBE", "state": "optimized geometry", "lattice_angstrom": [[4.6604, 0.0000, 0.0000], [0.0000, 4.6604, 0.0000], [0.0000, 0.0000, 6.4799]], "species": ["Mg", "K", "O", "O", "I"], "fractional_positions": [[0.5000, 0.5000, 0.5000], [0.0000, 0.0000, 0.0000], [0.0000, 0.5000, 0.0000], [0.5000, 0.0000, 0.0000], [0.0000, 0.0000, 0.5000]], "spacegroup": "P4/mmm", "dft_energy_ev_per_atom": -2.614, "e_form_raw_mev_per_atom": 218, "de_polymorph_ev_per_atom": 0.983, "m_tot_mub_per_cell": 2.3}



No. 8
{"formula": "Sm2TlGaGe", "functional": "PBE", "state": "optimized geometry", "lattice_angstrom": [[4.3560, 0.0000, 0.0000], [0.0000, 6.2618, 1.0483], [0.0000, -1.4995, 8.9337]], "species": ["Ge", "Ge", "Ga", "Ga", "Sm", "Sm", "Sm", "Sm", "Tl", "Tl"], "fractional_positions": [[0.7500, 0.0595, 0.2496], [0.2500, 0.9405, 0.7504], [0.7500, 0.4519, 0.2495], [0.2500, 0.5481, 0.7505], [0.7500, 0.7560, 0.5354], [0.7500, 0.7556, 0.9653], [0.2500, 0.2440, 0.4646], [0.2500, 0.2444, 0.0347], [0.2500, 0.7401, 0.2512], [0.7500, 0.2599, 0.7488]], "spacegroup": "P2_1/m", "dft_energy_ev_per_atom": -4.411, "ef_ev_per_fu": -2.61, "m_tot_mub_per_cell": 0.0}



No. 9
{"formula": "AcCeNd2", "functional": "PBE", "state": "optimized geometry", "lattice_angstrom": [[-2.2066, -3.0138, -0.2103], [1.2223, -3.0981, -1.7042], [4.1286, -6.0299, 9.8167]], "species": ["Ce", "Nd", "Nd", "Ac"], "fractional_positions": [[0.5004, 0.5004, 0.4989], [0.0865, 0.0865, 0.7406], [0.2465, 0.2465, 0.2605], [0.6667, 0.6667, 0.9999]], "spacegroup": "R3m", "dft_energy_ev_per_atom": -4.797, "ef_ev_per_fu": 0.39, "de_polymorph_ev_per_atom": 0.000, "m_tot_mub_per_cell": 1.2}



No. 10
{"formula": "Eu2GaAg", "functional": "PBE", "state": "optimized geometry", "lattice_angstrom": [[3.8027, 0.0000, 0.0000], [0.0000, 3.8027, 0.0000], [0.0000, 0.0000, 7.4648]], "species": ["Ga", "Ag", "Eu", "Eu"], "fractional_positions": [[0.5000, 0.5000, 0.0000], [0.5000, 0.5000, 0.5000], [0.0000, 0.0000, 0.2416], [0.0000, 0.0000, 0.7584]], "spacegroup": "P4/mmm", "dft_energy_ev_per_atom": -6.983, "ef_ev_per_fu": -1.51, "m_tot_mub_per_cell": 14.1}



No. 11
{"formula": "AcDyO", "functional": "PBE", "state": "optimized geometry", "lattice_angstrom": [[-5.2107, 1.5384, -0.9610], [0.6109, -1.4536, -5.6370], [0.1877, -5.2357, 4.4130]], "species": ["O", "O", "Dy", "Dy", "Ac", "Ac"], "fractional_positions": [[0.0000, 0.2576, 0.0000], [0.0000, 0.7424, 0.0000], [0.1379, 0.4004, 0.8009], [0.8621, 0.5996, 0.1991], [0.3525, 0.1257, 0.2512], [0.6475, 0.8743, 0.7488]], "spacegroup": "C2/m", "dft_energy_ev_per_atom": -6.351, "e_form_raw_mev_per_atom": -1795, "de_polymorph_ev_per_atom": 0.000, "m_tot_mub_per_cell": 0.8}



No. 12
{"formula": "ScAsRuSe2", "functional": "PBE", "state": "optimized geometry", "lattice_angstrom": [[-0.6039, -5.0261, -0.0223], [2.9918, -0.3775, 4.0662], [-3.5898, 0.4194, 2.6802]], "species": ["Sc", "As", "Se", "Se", "Ru"], "fractional_positions": [[0.5000, 0.5000, 0.5000], [0.0000, 0.0000, 0.5000], [0.0000, 0.5000, 0.0000], [0.5000, 0.0000, 0.0000], [0.0000, 0.0000, 0.0000]], "spacegroup": "P4/mmm", "dft_energy_ev_per_atom": -5.428, "e_form_raw_mev_per_atom": 17, "de_polymorph_ev_per_atom": 0.000, "m_tot_mub_per_cell": 0.0}



No. 13
{"formula": "Ac2Pd3Rh", "functional": "PBE", "state": "optimized geometry", "lattice_angstrom": [[-1.3820, 3.8124, 1.9852], [-2.4331, -1.8151, -3.3423], [-8.5349, -8.8248, 11.0055]], "species": ["Pd", "Pd", "Pd", "Pd", "Pd", "Pd", "Rh", "Rh", "Ac", "Ac", "Ac", "Ac"], "fractional_positions": [[0.3333, 0.6667, 0.7500], [0.3333, 0.6667, 0.5002], [0.6667, 0.3333, 0.2500], [0.3333, 0.6667, 0.9998], [0.6667, 0.3333, 0.0002], [0.6667, 0.3333, 0.4998], [0.6667, 0.3333, 0.7500], [0.3333, 0.6667, 0.2500], [0.0000, 0.0000, 0.6259], [0.0000, 0.0000, 0.1259], [0.0000, 0.0000, 0.3741], [0.0000, 0.0000, 0.8741]], "spacegroup": "P6_3/mmc", "dft_energy_ev_per_atom": -5.890, "ef_ev_per_fu": -4.20, "de_polymorph_ev_per_atom": 0.000, "m_tot_mub_per_cell": 0.0}



No. 14
{"formula": "KBaCr", "functional": "PBE", "state": "optimized geometry", "lattice_angstrom": [[-1.3021, 5.1209, 2.8501], [-0.7281, 0.0173, 5.9592], [4.1078, 2.6054, 3.5184]], "species": ["K", "Cr", "Ba"], "fractional_positions": [[0.0000, 0.0000, 0.0000], [0.7500, 0.7500, 0.7500], [0.5000, 0.5000, 0.5000]], "spacegroup": "F-43m", "dft_energy_ev_per_atom": -3.410, "ef_ev_per_fu": 2.41, "de_polymorph_ev_per_atom": 0.095, "m_tot_mub_per_cell": 5.2}



No. 15
{"formula": "Ce3HoH", "functional": "PBE", "state": "optimized geometry", "lattice_angstrom": [[-0.9311, 1.0164, -4.7690], [3.5930, -3.1393, -1.3706], [-3.2965, -3.7088, -0.1468]], "species": ["H", "Ce", "Ce", "Ce", "Ho"], "fractional_positions": [[0.0000, 0.0000, 0.0000], [0.5000, 0.0000, 0.0000], [0.0000, 0.0000, 0.5000], [0.0000, 0.5000, 0.0000], [0.5000, 0.5000, 0.5000]], "spacegroup": "Pm-3m", "dft_energy_ev_per_atom": -5.214, "m_tot_mub_per_cell": 2.9}



No. 16
{"formula": "TcPdS2", "functional": "PBE", "state": "optimized geometry", "lattice_angstrom": [[5.4763, 0.0000, 0.0000], [0.0000, 5.4763, 0.0000], [2.7381, 2.7381, 5.1387]], "species": ["S", "S", "S", "S", "Pd", "Pd", "Tc", "Tc"], "fractional_positions": [[0.3750, 0.3978, 0.7500], [0.1478, 0.6250, 0.2500], [0.8750, 0.8522, 0.7500], [0.6022, 0.1250, 0.2500], [0.7500, 0.2500, 0.5000], [0.0000, 0.0000, 0.0000], [0.5000, 0.5000, 0.0000], [0.2500, 0.7500, 0.5000]], "spacegroup": "I-42d", "dft_energy_ev_per_atom": -6.165, "e_form_raw_mev_per_atom": -212, "de_polymorph_ev_per_atom": 0.043, "m_tot_mub_per_cell": 0.0}



No. 17
{"formula": "Zr2ZnPd3", "functional": "PBE", "state": "optimized geometry", "lattice_angstrom": [[4.4105, 0.0000, 0.0000], [0.0000, 5.2122, 0.0000], [-2.2053, -2.6061, 4.9204]], "species": ["Zr", "Zr", "Pd", "Pd", "Pd", "Zn"], "fractional_positions": [[0.6935, 0.1935, 0.3871], [0.3065, 0.8065, 0.6129], [0.0000, 0.0000, 0.0000], [0.6355, 0.6355, 0.2711], [0.3645, 0.3645, 0.7289], [0.0000, 0.5000, 0.0000]], "spacegroup": "Immm", "dft_energy_ev_per_atom": -6.023, "ef_ev_per_fu": -2.19, "m_tot_mub_per_cell": 0.0}



No. 18
{"formula": "Ba2Li12Cd7", "functional": "PBE", "state": "optimized geometry", "lattice_angstrom": [[-1.0488, 3.5745, -3.0354], [-10.4448, -2.2407, 0.9704], [4.6218, 7.0175, 6.6670]], "species": ["Li", "Li", "Li", "Li", "Li", "Li", "Li", "Li", "Li", "Li", "Li", "Li", "Cd", "Cd", "Cd", "Cd", "Cd", "Cd", "Cd", "Ba", "Ba"], "fractional_positions": [[0.5000, 0.6530, 0.0225], [0.5000, 0.9775, 0.6305], [0.0000, 0.8654, 0.1547], [0.0000, 0.4927, 0.5348], [0.0000, 0.8453, 0.7107], [0.5000, 0.5033, 0.7146], [0.5000, 0.2854, 0.7887], [0.0000, 0.0421, 0.5073], [0.0000, 0.4652, 0.9579], [0.5000, 0.2113, 0.4967], [0.0000, 0.2893, 0.1346], [0.5000, 0.3695, 0.3470], [0.5000, 0.9223, 0.3145], [0.5000, 0.6855, 0.6078], [0.0000, 0.1517, 0.8214], [0.0000, 0.1786, 0.3304], [0.0000, 0.3333, 0.6667], [0.5000, 0.3922, 0.0777], [0.0000, 0.6696, 0.8483], [0.0000, 0.6667, 0.3333], [0.5000, 0.0000, 0.0000]], "spacegroup": "P-6", "dft_energy_ev_per_atom": -1.763, "ef_ev_per_fu": -3.81, "m_tot_mub_per_cell": 0.0}



No. 19
{"formula": "Zr2FeHg", "functional": "PBE", "state": "optimized geometry", "lattice_angstrom": [[7.4812, 0.0000, 0.0000], [0.0000, 7.4812, 0.0000], [3.7406, 3.7406, 2.8374]], "species": ["Zr", "Zr", "Zr", "Zr", "Hg", "Hg", "Fe", "Fe"], "fractional_positions": [[0.1763, 0.6250, 0.2500], [0.5737, 0.1250, 0.2500], [0.3750, 0.4263, 0.7500], [0.8750, 0.8237, 0.7500], [0.7500, 0.2500, 0.5000], [0.0000, 0.0000, 0.0000], [0.5000, 0.5000, 0.0000], [0.2500, 0.7500, 0.5000]], "spacegroup": "I-42d", "dft_energy_ev_per_atom": -6.236, "ef_ev_per_fu": 0.92, "m_tot_mub_per_cell": 0.0}



No. 20
{"formula": "Zr2TiCdN", "functional": "PBE", "state": "optimized geometry", "lattice_angstrom": [[-0.0085, -1.2271, -4.6946], [5.0150, -1.2060, 0.3062], [-1.1684, -4.5560, 1.1930]], "species": ["Zr", "Zr", "Ti", "N", "Cd"], "fractional_positions": [[0.0000, 0.0000, 0.5000], [0.5000, 0.0000, 0.0000], [0.0000, 0.0000, 0.0000], [0.5000, 0.5000, 0.5000], [0.0000, 0.5000, 0.0000]], "spacegroup": "P4/mmm", "dft_energy_ev_per_atom": -5.127, "e_form_raw_mev_per_atom": 1719, "de_polymorph_ev_per_atom": 2.518, "m_tot_mub_per_cell": 1.2}



No. 21
{"formula": "TaOsW2", "functional": "PBE", "state": "optimized geometry", "lattice_angstrom": [[-0.8377, 3.6005, -2.4085], [-3.0262, 0.8004, 2.2489], [2.2722, 2.0790, 2.3176]], "species": ["W", "W", "Ta", "Os"], "fractional_positions": [[0.0000, 0.5000, 0.5000], [0.0000, 0.0000, 0.0000], [0.5000, 0.0000, 0.5000], [0.5000, 0.5000, 0.0000]], "spacegroup": "P4/mmm", "dft_energy_ev_per_atom": -12.102, "ef_ev_per_fu": 0.58, "de_polymorph_ev_per_atom": 0.203, "m_tot_mub_per_cell": 0.0}



No. 22
{"formula": "LiZn2Ga2", "functional": "PBE", "state": "optimized geometry", "lattice_angstrom": [[-0.8189, 7.4405, 0.3408], [-4.6001, -0.7749, 5.8640], [2.4403, 0.1798, 1.9381]], "species": ["Li", "Li", "Ga", "Ga", "Ga", "Ga", "Zn", "Zn", "Zn", "Zn"], "fractional_positions": [[0.5000, 0.5000, 0.0000], [0.0000, 0.0000, 0.0000], [0.8258, 0.3258, 0.5000], [0.3258, 0.1742, 0.5000], [0.6742, 0.8258, 0.5000], [0.1742, 0.6742, 0.5000], [0.8742, 0.6258, 0.0000], [0.1258, 0.3742, 0.0000], [0.3742, 0.8742, 0.0000], [0.6258, 0.1258, 0.0000]], "spacegroup": "P4/mbm", "dft_energy_ev_per_atom": -2.155, "ef_ev_per_fu": -0.26, "de_polymorph_ev_per_atom": 0.053, "m_tot_mub_per_cell": 0.0}



No. 23
{"formula": "Pm4Ag3Ru", "functional": "PBE", "state": "optimized geometry", "lattice_angstrom": [[-0.3475, 2.7356, -2.2953], [-2.7765, -1.6572, -1.5548], [-9.5972, 6.9474, 9.7333]], "species": ["Pm", "Pm", "Pm", "Pm", "Ag", "Ag", "Ag", "Ru"], "fractional_positions": [[0.0000, 0.0000, 0.1108], [0.0000, 0.0000, 0.3715], [0.0000, 0.0000, 0.8892], [0.0000, 0.0000, 0.6285], [0.5000, 0.5000, 0.5000], [0.5000, 0.5000, 0.2443], [0.5000, 0.5000, 0.7557], [0.5000, 0.5000, 0.0000]], "spacegroup": "P4/mmm", "dft_energy_ev_per_atom": -4.865, "ef_ev_per_fu": -2.09, "m_tot_mub_per_cell": 0.0}